An optimized crystal structure of MnNbOF2, computed with PBE+U.

Cell lengths 4.4047, 4.4047, 4.0039 Å; angles 90.00, 90.00, 90.00 degrees
Atoms (fractional coordinates):
Mn 0.0000 0.0000 0.0000
Nb 0.5000 0.5000 0.5000
O 0.5000 0.5000 0.0000
F 0.0000 0.5000 0.5000
F 0.5000 0.0000 0.5000

Values from the calculation:
- Space group: P4/mmm
- E: -34.2 eV/cell